Material: Ac4InIr
Method: DFT, PBE
State: optimized geometry

a = 14.941 Å, b = 14.941 Å, c = 14.941 Å
α = 90.00°, β = 90.00°, γ = 90.00°
Space group F-43m (No. 216)
One atom of each set of equivalent atoms:
Ac 0.000 0.000 0.189 (multiplicity 24)
Ac 0.059 0.250 0.250 (multiplicity 24)
Ac 0.097 0.097 0.597 (multiplicity 16)
In 0.172 0.172 0.828 (multiplicity 16)
Ir 0.108 0.108 0.392 (multiplicity 16)

Summary:
V = 34.7 Å³/atom
ΔE to the lowest computed polymorph = 0.000 eV/atom


Material: Y2TiCu2
Method: DFT, PBE
State: optimized geometry

a = 7.994 Å, b = 7.994 Å, c = 3.303 Å
α = 90.00°, β = 90.00°, γ = 90.00°
Space group P4/mbm (No. 127)
One atom of each set of equivalent atoms:
Y 0.156 0.344 0.000 (multiplicity 4)
Ti 0.000 0.000 0.000 (multiplicity 2)
Cu 0.139 0.639 0.500 (multiplicity 4)

Summary:
V = 21.1 Å³/atom
ΔE to the lowest computed polymorph = 0.198 eV/atom